No. 1
# Sr2Nb5O9 | the Alexandria database | GGA-PBEsol | relaxed
# N(E_F) ... 0.18 states/eV/atom
# Formation energy from raw total energies ... -2.52 eV/atom
data_Sr2Nb5O9
_space_group_name_H-M_alt 'P 4/m m m'
_space_group_IT_number 123
_space_group_name_Hall '-P 4 2'
_cell_length_a 4.157
_cell_length_b 4.157
_cell_length_c 12.052
_cell_angle_alpha 90.00
_cell_angle_beta 90.00
_cell_angle_gamma 90.00
loop_
_atom_site_label
_atom_site_type_symbol
_atom_site_fract_x
_atom_site_fract_y
_atom_site_fract_z
_atom_site_occupancy
Sr1 Sr 0.000 0.000 0.170 1
Nb1 Nb 0.000 0.500 0.500 1
Nb2 Nb 0.500 0.500 0.000 1
Nb3 Nb 0.500 0.500 0.335 1
O1 O 0.000 0.000 0.500 1
O2 O 0.000 0.500 0.000 1
O3 O 0.000 0.500 0.323 1
O4 O 0.500 0.500 0.163 1

=====

No. 2
# K2FeMo | the Alexandria database | GGA-PBEsol | relaxed
# N(E_F) ... 1.04 states/eV/atom
# DFT formation energy ... 890 meV per atom
data_K2FeMo
_space_group_name_H-M_alt 'P 4 m m'
_space_group_IT_number 99
_cell_length_a 3.263
_cell_length_b 3.263
_cell_length_c 10.309
_cell_angle_alpha 90.00
_cell_angle_beta 90.00
_cell_angle_gamma 90.00
loop_
_space_group_symop_operation_xyz
'x,y,z'
'-y,x,z'
'-x,-y,z'
'y,-x,z'
'-x,y,z'
'y,x,z'
'x,-y,z'
'-y,-x,z'
loop_
_atom_site_label
_atom_site_type_symbol
_atom_site_fract_x
_atom_site_fract_y
_atom_site_fract_z
_atom_site_occupancy
K1 K 0.000 0.000 0.000 1
K2 K 0.500 0.500 0.416 1
Fe1 Fe 0.500 0.500 0.735 1
Mo1 Mo 0.000 0.000 0.687 1

=====

Q: The highest N(E_F) belongs to which entry?
A: K2FeMo